Record 1
# Sr3TlH SCAN PBEsol geometry
# * space group: Pm-3m
# * calculated volume: 145 Å³ per cell
# * DFT total energy: -28.923 eV/atom
data_Sr3TlH
_cell_length_a 5.254
_cell_length_b 5.254
_cell_length_c 5.254
_cell_angle_alpha 90.00
_cell_angle_beta 90.00
_cell_angle_gamma 90.00
_space_group_name_H-M_alt 'P 1'
_space_group_IT_number 1
loop_
_space_group_symop_operation_xyz
'x,y,z'
loop_
_atom_site_label
_atom_site_fract_x
_atom_site_fract_y
_atom_site_fract_z
Sr1 0.000 0.500 0.000
Sr2 0.500 0.000 0.000
Sr3 0.000 0.000 0.500
Tl1 0.500 0.500 0.500
H1 0.000 0.000 0.000


Record 2
# Sr2TlH SCAN PBEsol geometry
# * space group: I-42d
# * calculated volume: 228 Å³ per cell
# * DFT total energy: -30.507 eV/atom
data_Sr2TlH
_cell_length_a 6.680
_cell_length_b 6.680
_cell_length_c 6.680
_cell_angle_alpha 105.05
_cell_angle_beta 111.73
_cell_angle_gamma 111.73
_space_group_name_H-M_alt 'P 1'
_space_group_IT_number 1
loop_
_space_group_symop_operation_xyz
'x,y,z'
loop_
_atom_site_label
_atom_site_fract_x
_atom_site_fract_y
_atom_site_fract_z
Tl1 0.000 0.000 0.000
Tl2 0.500 0.750 0.250
Sr1 0.596 0.221 0.125
Sr2 0.904 0.375 0.779
Sr3 0.096 0.875 0.471
Sr4 0.404 0.529 0.625
H1 0.000 0.500 0.500
H2 0.500 0.250 0.750


Record 3
# SrY2TlH SCAN PBEsol geometry
# * space group: P4/mmm
# * calculated volume: 193 Å³ per cell
# * DFT total energy: -29.176 eV/atom
data_SrY2TlH
_cell_length_a 5.673
_cell_length_b 5.832
_cell_length_c 5.832
_cell_angle_alpha 90.00
_cell_angle_beta 90.00
_cell_angle_gamma 90.00
_space_group_name_H-M_alt 'P 1'
_space_group_IT_number 1
loop_
_space_group_symop_operation_xyz
'x,y,z'
loop_
_atom_site_label
_atom_site_fract_x
_atom_site_fract_y
_atom_site_fract_z
Y1 0.000 0.500 0.000
Y2 0.000 0.000 0.500
H1 0.500 0.500 0.500
Tl1 0.500 0.000 0.000
Sr1 0.000 0.000 0.000


Record 4
# SrZn2HW SCAN PBEsol geometry
# * space group: P4/mmm
# * calculated volume: 92 Å³ per cell
# * DFT total energy: -24.046 eV/atom
data_SrZn2HW
_cell_length_a 3.552
_cell_length_b 5.081
_cell_length_c 5.081
_cell_angle_alpha 90.00
_cell_angle_beta 90.00
_cell_angle_gamma 90.00
_space_group_name_H-M_alt 'P 1'
_space_group_IT_number 1
loop_
_space_group_symop_operation_xyz
'x,y,z'
loop_
_atom_site_label
_atom_site_fract_x
_atom_site_fract_y
_atom_site_fract_z
Zn1 0.000 0.500 0.000
Zn2 0.000 0.000 0.500
H1 0.500 0.000 0.000
Sr1 0.500 0.500 0.500
W1 0.000 0.000 0.000


Record 5
# Sr2ZnH2 SCAN PBEsol geometry
# * space group: I4/mmm
# * calculated volume: 106 Å³ per cell
# * DFT total energy: -13.401 eV/atom
data_Sr2ZnH2
_cell_length_a 3.996
_cell_length_b 3.996
_cell_length_c 7.222
_cell_angle_alpha 106.06
_cell_angle_beta 106.06
_cell_angle_gamma 90.00
_space_group_name_H-M_alt 'P 1'
_space_group_IT_number 1
loop_
_space_group_symop_operation_xyz
'x,y,z'
loop_
_atom_site_label
_atom_site_fract_x
_atom_site_fract_y
_atom_site_fract_z
Sr1 0.353 0.353 0.706
Sr2 0.647 0.647 0.294
H1 0.750 0.250 0.500
H2 0.250 0.750 0.500
Zn1 0.000 0.000 0.000


Record 6
# SrZnH3 SCAN PBEsol geometry
# * space group: Pm-3m
# * calculated volume: 85 Å³ per cell
# * DFT total energy: -8.855 eV/atom
data_SrZnH3
_cell_length_a 4.403
_cell_length_b 4.403
_cell_length_c 4.403
_cell_angle_alpha 90.00
_cell_angle_beta 90.00
_cell_angle_gamma 90.00
_space_group_name_H-M_alt 'P 1'
_space_group_IT_number 1
loop_
_space_group_symop_operation_xyz
'x,y,z'
loop_
_atom_site_label
_atom_site_fract_x
_atom_site_fract_y
_atom_site_fract_z
H1 0.000 0.000 0.500
H2 0.000 0.500 0.000
H3 0.500 0.000 0.000
Sr1 0.000 0.000 0.000
Zn1 0.500 0.500 0.500


What did the fifth record say?
# Sr2ZnH2 SCAN PBEsol geometry
# * space group: I4/mmm
# * calculated volume: 106 Å³ per cell
# * DFT total energy: -13.401 eV/atom
data_Sr2ZnH2
_cell_length_a 3.996
_cell_length_b 3.996
_cell_length_c 7.222
_cell_angle_alpha 106.06
_cell_angle_beta 106.06
_cell_angle_gamma 90.00
_space_group_name_H-M_alt 'P 1'
_space_group_IT_number 1
loop_
_space_group_symop_operation_xyz
'x,y,z'
loop_
_atom_site_label
_atom_site_fract_x
_atom_site_fract_y
_atom_site_fract_z
Sr1 0.353 0.353 0.706
Sr2 0.647 0.647 0.294
H1 0.750 0.250 0.500
H2 0.250 0.750 0.500
Zn1 0.000 0.000 0.000


Question: What is the calculated volume in the sixth record?
Answer: 85 Å³ per cell


Question: Which formula does entry 4 have?
Answer: SrZn2HW